Density functional theory data (GGA-PBE) for an optimized crystal structure of Cu2Ag.

The calculation puts the calculated formation energy at 63 meV/atom. Its symmetry is I4mm (107). For the energy above the most stable polymorph in this dataset, the calculation gives 17 meV per atom.

Cell and atoms, written as POSCAR:
```
Cu2Ag
1.0
-1.381 1.381 16.332
1.381 -1.381 16.332
1.381 1.381 -16.332
Cu Ag
6 3
Direct
0.000 0.000 0.000 Cu
0.097 0.097 0.000 Cu
0.333 0.333 0.000 Cu
0.451 0.451 0.000 Cu
0.549 0.549 0.000 Cu
0.646 0.646 0.000 Cu
0.205 0.205 0.000 Ag
0.774 0.774 0.000 Ag
0.892 0.892 0.000 Ag
```


Density functional theory data (GGA-PBE) for an optimized crystal structure of PrGd2In3Ni3.

The calculation puts the size of the total moment at 0.00 μB/f.u. Its symmetry is Amm2 (38).

Cell and atoms, written as POSCAR:
```
PrGd2In3Ni3
1.0
3.884 0.000 0.000
0.000 6.470 3.760
0.000 -6.470 3.760
Pr Gd In Ni
1 2 3 3
Direct
0.000 0.000 0.000 Pr
0.000 0.176 0.587 Gd
0.000 0.587 0.176 Gd
0.500 0.341 0.341 In
0.500 0.582 0.837 In
0.500 0.837 0.582 In
0.000 0.585 0.585 Ni
0.500 0.256 0.919 Ni
0.500 0.919 0.256 Ni
```


Density functional theory data (GGA-PBE) for an optimized crystal structure of Rb2HgI4.

Its symmetry is P2_1 (4). For the energy above the most stable polymorph in this dataset, the calculation gives 5 meV per atom.

Cell and atoms, written as POSCAR:
```
Rb2HgI4
1.0
8.009 0.000 0.000
0.000 8.443 0.000
-3.616 0.000 10.046
Rb Hg I
4 2 8
Direct
0.199 0.000 0.037 Rb
0.279 0.003 0.583 Rb
0.721 0.503 0.417 Rb
0.801 0.500 0.963 Rb
0.206 0.504 0.784 Hg
0.794 0.004 0.216 Hg
0.029 0.739 0.278 I
0.032 0.268 0.281 I
0.383 0.509 0.066 I
0.442 0.504 0.639 I
0.558 0.004 0.361 I
0.617 0.009 0.934 I
0.968 0.768 0.719 I
0.971 0.239 0.722 I
```


Density functional theory data (GGA-PBE) for an optimized crystal structure of Er3Cu4Pb4.

The calculation puts the size of the total moment at 0.00 μB/f.u. Its symmetry is Immm (71).

Cell and atoms, written as POSCAR:
```
Er3Cu4Pb4
1.0
-2.270 3.534 7.461
2.270 -3.534 7.461
2.270 3.534 -7.461
Er Cu Pb
3 4 4
Direct
0.000 0.000 0.000 Er
0.369 0.869 0.500 Er
0.631 0.131 0.500 Er
0.017 0.328 0.689 Cu
0.361 0.672 0.689 Cu
0.639 0.328 0.311 Cu
0.983 0.672 0.311 Cu
0.216 0.216 0.000 Pb
0.291 0.500 0.791 Pb
0.709 0.500 0.209 Pb
0.784 0.784 0.000 Pb
```


Number 1: E_tot -0.1234 Ha/atom. Number 2: E_tot -0.1770 Ha/atom. Number 3: E_tot -0.0807 Ha/atom. Number 4: E_tot -0.1535 Ha/atom.